Entry 1:
# BaLi2Te

BaLi2Te after structural relaxation (PBEsol, the Alexandria database).

Unit cell a=4.5749 b=4.5749 c=6.8278 alpha=70.43 beta=70.43 gamma=60.00
With the nearest neighbours (Å) after each atom.
Atoms (fractional coordinates):
Li: 0.0510 0.0510 0.8470  3 Li 2.72, 3 Te 2.95
Li: 0.7514 0.7514 0.7458  3 Li 2.72, 3 Te 2.72
Te: 0.4534 0.4534 0.6398  6 Li 2.72-2.95
Ba: 0.2523 0.2523 0.2430  4 Li 3.63-3.80, 4 Te 3.64-3.80

Calculated values
Energy   -3.1561 eV per atom
Raw formation energy   -3.02 eV per formula unit
Symmetry   R3m



Entry 2:
# Sr2LiY

Sr2LiY after structural relaxation (PBEsol, the Alexandria database).

Unit cell a=3.9151 b=3.9151 c=9.7022 alpha=90.00 beta=90.00 gamma=90.00
With the nearest neighbours (Å) after each atom.
Atoms (fractional coordinates):
Y: 0.0000 0.0000 0.5528  4 Li 3.23
Sr: 0.5000 0.5000 0.2773  4 Y 3.85, 8 Sr 3.92-4.25
Sr: 0.0000 0.0000 0.9456  4 Li 3.50, 1 Y 3.81, 4 Sr 3.92
Li: 0.5000 0.5000 0.7244  4 Y 3.23, 4 Sr 3.50

Calculated values
Energy   -2.9699 eV per atom
Energy of formation   148 meV/atom
Symmetry   P4mm



Entry 3:
# In2Ni6C

In2Ni6C after structural relaxation (PBEsol, the Alexandria database).

Unit cell a=3.7888 b=3.7888 c=7.3382 alpha=90.00 beta=90.00 gamma=90.00
With the nearest neighbours (Å) after each atom.
Atoms (fractional coordinates):
Ni: 0.0000 0.5000 0.0000  2 C 1.89
Ni: 0.5000 0.5000 0.2554  1 C 1.87
Ni: 0.5000 0.0000 0.0000  2 C 1.89
Ni: 0.5000 0.5000 0.7446  1 C 1.87
Ni: 0.0000 0.5000 0.5000  4 In 2.59, 8 Ni 2.61-2.68
Ni: 0.5000 0.0000 0.5000  4 In 2.59, 8 Ni 2.61-2.68
C: 0.5000 0.5000 0.0000  6 Ni 1.87-1.89
In: 0.0000 0.0000 0.7398  12 Ni 2.59-2.69
In: 0.0000 0.0000 0.2602  12 Ni 2.59-2.69

Calculated values
Energy   -5.9447 eV per atom
Energy of formation   -105 meV/atom
Symmetry   P4/mmm



Entry 4:
# Mg2CN

Mg2CN after structural relaxation (PBEsol, the Alexandria database).

Unit cell a=3.8853 b=3.8853 c=3.8853 alpha=60.00 beta=60.00 gamma=60.00
With the nearest neighbours (Å) after each atom.
Atoms (fractional coordinates):
Mg: 0.2500 0.2500 0.2500  4 N 2.38, 4 C 2.38
Mg: 0.7500 0.7500 0.7500  4 C 2.38, 4 N 2.38
N: 0.5000 0.5000 0.5000  8 Mg 2.38
C: 0.0000 0.0000 0.0000  8 Mg 2.38

Calculated values
Energy   -4.6697 eV per atom
Raw formation energy   2.93 eV per formula unit
Symmetry   Fm-3m



Entry 5:
# SrSi2IrRu

SrSi2IrRu after structural relaxation (PBEsol, the Alexandria database).

Unit cell a=4.4842 b=4.4842 c=5.3095 alpha=90.00 beta=90.00 gamma=90.00
With the nearest neighbours (Å) after each atom.
Atoms (fractional coordinates):
Si: 0.5000 0.0000 0.0000  2 Ru 2.24
Si: 0.0000 0.5000 0.0000  2 Ru 2.24
Ru: 0.0000 0.0000 0.0000  4 Si 2.24
Ir: 0.5000 0.5000 0.5000  4 Sr 3.17, 8 Si 3.47
Sr: 0.0000 0.0000 0.5000  2 Ru 2.65

Calculated values
Energy   -5.9476 eV per atom
Raw formation energy   3.59 eV per formula unit
Symmetry   P4/mmm



Entry 6:
# In2AsPt8

In2AsPt8 after structural relaxation (PBEsol, the Alexandria database).

Unit cell a=3.9841 b=3.9841 c=11.1140 alpha=90.00 beta=90.00 gamma=90.00
With the nearest neighbours (Å) after each atom.
Atoms (fractional coordinates):
Pt: 0.0000 0.5000 0.0000  8 Pt 2.82, 4 In 2.83
Pt: 0.0000 0.0000 0.8206  4 In 2.82, 8 Pt 2.82-2.85
Pt: 0.5000 0.0000 0.3625  2 As 2.51
Pt: 0.0000 0.5000 0.6375  2 As 2.51
Pt: 0.5000 0.0000 0.0000  8 Pt 2.82, 4 In 2.83
Pt: 0.0000 0.0000 0.1794  4 In 2.82, 8 Pt 2.82-2.85
Pt: 0.0000 0.5000 0.3625  2 As 2.51
Pt: 0.5000 0.0000 0.6375  2 As 2.51
In: 0.5000 0.5000 0.1804  12 Pt 2.82-2.84
In: 0.5000 0.5000 0.8196  12 Pt 2.82-2.84
As: 0.0000 0.0000 0.5000  8 Pt 2.51

Calculated values
Energy   -6.4263 eV per atom
Energy of formation   -355 meV/atom
Symmetry   P4/mmm



Which formula does entry 2 have? Sr2LiY



Please write out number 5 again, unchanged.
# SrSi2IrRu

SrSi2IrRu after structural relaxation (PBEsol, the Alexandria database).

Unit cell a=4.4842 b=4.4842 c=5.3095 alpha=90.00 beta=90.00 gamma=90.00
With the nearest neighbours (Å) after each atom.
Atoms (fractional coordinates):
Si: 0.5000 0.0000 0.0000  2 Ru 2.24
Si: 0.0000 0.5000 0.0000  2 Ru 2.24
Ru: 0.0000 0.0000 0.0000  4 Si 2.24
Ir: 0.5000 0.5000 0.5000  4 Sr 3.17, 8 Si 3.47
Sr: 0.0000 0.0000 0.5000  2 Ru 2.65

Calculated values
Energy   -5.9476 eV per atom
Raw formation energy   3.59 eV per formula unit
Symmetry   P4/mmm



The lowest energy belongs to which entry? In2AsPt8